# CsHoV2O8, relaxed, DFT GGA+U
data_CsHoV2O8
_space_group_name_H-M_alt 'P -3 m 1'
_space_group_IT_number 164
_space_group_name_Hall '-P 3 2"'
_cell_length_a 5.9636
_cell_length_b 5.9636
_cell_length_c 8.4626
_cell_angle_alpha 90.00
_cell_angle_beta 90.00
_cell_angle_gamma 120.00
loop_
_atom_site_label
_atom_site_fract_x
_atom_site_fract_y
_atom_site_fract_z
_atom_site_occupancy
Cs1 0.0000 0.0000 0.0000 1
Ho1 0.0000 0.0000 0.5000 1
V1 0.3333 0.6667 0.7246 1
O1 0.1730 0.3461 0.6589 1
O2 0.3333 0.6667 0.9266 1
# - N(E_F): 0.876 states/eV per atom
# - Final energy: -6.99 eV per atom
# - Crystal system: trigonal